Material: Sc2Te3
Method: DFT, PBE-GGA
State: relaxed

a = 10.7485 Å, b = 10.7485 Å, c = 10.7485 Å
α = 22.24°, β = 22.24°, γ = 22.24°
Element x y z (fractional)
Sc: 0.1059 0.1059 0.1059
Sc: 0.8941 0.8941 0.8941
Te: 0.2765 0.2765 0.2765
Te: 0.5000 0.5000 0.5000
Te: 0.7235 0.7235 0.7235

Summary:
- Calculated density: 5.031 Mg/m³
- Formation energy from raw total energies: -1.18 eV/atom

=====

Material: ScTe3
Method: DFT, PBE-GGA
State: relaxed

a = 5.6593 Å, b = 5.6593 Å, c = 5.6593 Å
α = 113.08°, β = 113.08°, γ = 113.08°
Element x y z (fractional)
Sc: 0.0000 0.0000 0.0000
Te: 0.0000 0.5000 0.5000
Te: 0.5000 0.0000 0.5000
Te: 0.5000 0.5000 0.0000

Summary:
- Calculated density: 6.056 Mg/m³
- Formation energy from raw total energies: -0.39 eV/atom

=====

Material: ScTe2
Method: DFT, PBE-GGA
State: relaxed

a = 5.4180 Å, b = 5.4180 Å, c = 3.2390 Å
α = 90.00°, β = 90.00°, γ = 120.00°
Element x y z (fractional)
Sc: 0.0000 0.0000 0.0000
Te: 0.3333 0.6667 0.5000
Te: 0.6667 0.3333 0.5000

Summary:
- Calculated density: 6.053 Mg/m³
- Formation energy from raw total energies: -0.16 eV/atom